Run a
# Tb3DyHg2

A relaxed structure of Tb3DyHg2 (PBE-GGA, Alexandria via LeMat-Bulk).

Total magnetization = 0.00 μB per atom

Lattice parameters (Å, degrees): 5.138 9.278 7.059 90.00 90.00 90.00
Space group Pmc2_1 (No. 26)
One atom of each set of equivalent atoms:
Tb (0.000, 0.055, 0.000)
Tb (0.000, 0.326, 0.343)
Tb (0.500, 0.175, 0.686)
Dy (0.500, 0.445, 0.030)
Hg (0.000, 0.350, 0.779)
Hg (0.500, 0.150, 0.251)

---

Run b
# Tb3DyHg2

A relaxed structure of Tb3DyHg2 (PBE-GGA, Alexandria via LeMat-Bulk).

Total magnetization = 0.00 μB per atom

Lattice parameters (Å, degrees): 7.118 14.479 7.507 90.00 90.00 90.00
Space group Ibam (No. 72)
One atom of each set of equivalent atoms:
Tb (0.000, 0.000, 0.250)
Tb (0.000, 0.272, 0.250)
Dy (0.000, 0.500, 0.000)
Hg (0.200, 0.140, 0.000)

---

What should be chosen as the least stable of them? Choose run b.

---

Run a
# TbDyHg4

A relaxed structure of TbDyHg4 (PBE-GGA, Alexandria via LeMat-Bulk).

Total magnetization = 0.00 μB per atom

Lattice parameters (Å, degrees): 5.209 3.923 14.619 90.00 90.00 90.00
Space group Amm2 (No. 38)
One atom of each set of equivalent atoms:
Tb (0.000, 0.000, 0.000)
Dy (0.500, 0.000, 0.791)
Hg (0.000, 0.000, 0.331)
Hg (0.000, 0.000, 0.666)
Hg (0.500, 0.000, 0.126)
Hg (0.500, 0.000, 0.459)

---

Run b
# TbDyHg4

A relaxed structure of TbDyHg4 (PBE-GGA, Alexandria via LeMat-Bulk).

Total magnetization = 0.04 μB per atom

Lattice parameters (Å, degrees): 11.836 3.631 7.306 90.00 107.91 90.00
Space group C2/m (No. 12)
One atom of each set of equivalent atoms:
Tb (0.000, 0.000, 0.000)
Dy (0.000, 0.000, 0.500)
Hg (0.168, 0.500, 0.335)
Hg (0.168, 0.500, 0.833)

---

What should be chosen as the least stable of them? Choose run b.

---

Run a
# TbDy2Hg

A relaxed structure of TbDy2Hg (PBE-GGA, Alexandria via LeMat-Bulk).

Total magnetization = 0.00 μB per atom

Lattice parameters (Å, degrees): 3.6051 3.6051 31.7198 90.00 90.00 120.00
Space group R-3m (No. 166, hexagonal axes)
One atom of each set of equivalent atoms:
Tb (0.0000, 0.0000, 0.0000)
Dy (0.0000, 0.0000, 0.2428)
Hg (0.0000, 0.0000, 0.5000)

---

Run b
# TbDy2Hg

A relaxed structure of TbDy2Hg (PBE-GGA, Alexandria via LeMat-Bulk).

Total magnetization = 0.00 μB per atom

Lattice parameters (Å, degrees): 3.6420 3.6420 31.3927 90.00 90.00 120.00
Space group R3m (No. 160, hexagonal axes)
One atom of each set of equivalent atoms:
Tb (0.0000, 0.0000, 0.0000)
Dy (0.0000, 0.0000, 0.2427)
Dy (0.0000, 0.0000, 0.4241)
Hg (0.0000, 0.0000, 0.8336)

---

What should be chosen as the least stable of them? Choose run b.

---

Run a
# Tb3Dy2Hg2

A relaxed structure of Tb3Dy2Hg2 (PBE-GGA, Alexandria via LeMat-Bulk).

Total magnetization = 0.00 μB per atom

Lattice parameters (Å, degrees): 5.3600 5.3600 23.7942 90.00 90.00 120.00
Space group R-3m (No. 166, hexagonal axes)
One atom of each set of equivalent atoms:
Tb (0.0000, 0.0000, 0.0000)
Tb (0.0000, 0.0000, 0.1578)
Dy (0.0000, 0.0000, 0.4249)
Hg (0.0000, 0.0000, 0.2869)

---

Run b
# Tb3Dy2Hg2

A relaxed structure of Tb3Dy2Hg2 (PBE-GGA, Alexandria via LeMat-Bulk).

Total magnetization = 0.02 μB per atom

Lattice parameters (Å, degrees): 3.574 32.086 3.558 90.00 90.00 90.00
Space group Cmmm (No. 65)
One atom of each set of equivalent atoms:
Tb (0.000, 0.000, 0.000)
Tb (0.000, 0.127, 0.000)
Dy (0.000, 0.296, 0.500)
Hg (0.000, 0.437, 0.500)

---

What should be chosen as the least stable of them? Choose run b.